(1)
CsUP | PBE | relaxed

Lattice parameters (Å, degrees): 8.3472 8.3472 4.5661 90.06 90.06 53.45
Closest atoms and distances in Å follow each position.
Atoms (fractional coordinates):
Cs 0.1622 0.1622 0.2489  4 P 3.74-3.77
Cs 0.8378 0.8378 0.7511  4 P 3.74-3.77
U 0.4624 0.4624 0.2499  2 U 2.54, 3 P 2.63-2.74
U 0.5376 0.5376 0.7501  2 U 2.54, 3 P 2.63-2.74
P 0.3613 0.3613 0.7495  3 U 2.63-2.74
P 0.6387 0.6387 0.2505  3 U 2.63-2.74

Crystal system ... monoclinic
Density of states at the Fermi level ... 0.67 states/eV/atom
Magnetic moment ... 1.369 μB/f.u.
ΔH_f (0 K) ... -135 meV/atom



(2)
Y2GeAs | PBE | relaxed

Lattice parameters (Å, degrees): 11.4982 11.4982 4.0444 90.00 90.00 158.87
Closest atoms and distances in Å follow each position.
Atoms (fractional coordinates):
Y 0.0646 0.9354 0.7500  1 As 2.79, 4 Ge 2.96
Y 0.3147 0.6853 0.7500  5 As 2.86-2.92
Y 0.6853 0.3147 0.2500  5 As 2.86-2.92
Y 0.9354 0.0646 0.2500  1 As 2.79, 4 Ge 2.96
Ge 0.4577 0.5423 0.7500  2 Ge 2.78, 4 Y 2.96
Ge 0.5423 0.4577 0.2500  2 Ge 2.78, 4 Y 2.96
As 0.1880 0.8120 0.7500  6 Y 2.79-2.92
As 0.8120 0.1880 0.2500  6 Y 2.79-2.92

Crystal system ... orthorhombic
Density of states at the Fermi level ... 0.36 states/eV/atom
Magnetic moment ... 0.000 μB/f.u.
Offset from the most stable computed form ... 0.000 eV per formula unit
ΔH_f (0 K) ... -1214 meV/atom